Fe3Pb4ClO8: relaxed, GGA+U.

Cell lengths 3.971, 3.971, 15.627 Å; angles 90.00, 90.00, 90.00 degrees
Space group P4/mmm (No. 123)
Asymmetric unit:
Fe (0.000, 0.000, 0.000) (multiplicity 1)
Fe (0.000, 0.000, 0.256) (multiplicity 2)
Pb (0.500, 0.500, 0.115) (multiplicity 2)
Pb (0.500, 0.500, 0.379) (multiplicity 2)
Cl (0.000, 0.000, 0.500) (multiplicity 1)
O (0.000, 0.000, 0.134) (multiplicity 2)
O (0.000, 0.500, 0.000) (multiplicity 2)
O (0.000, 0.500, 0.289) (multiplicity 4)

Properties
Total magnetization (μB/cell): 15.00
Raw total energy (eV per atom): -5.8406